[1]
Entry from Alexandria: crystalline NaSrCa5 at its relaxed geometry (GGA-PBE).

abc: 5.6715 5.6715 9.8202
angles: 90.00 90.00 90.00
Atoms (fractional coordinates):
Na1 0.0000 0.0000 0.0000
Sr1 0.0000 0.0000 0.5000
Ca1 0.0000 0.5000 0.2146
Ca2 0.0000 0.5000 0.7854
Ca3 0.5000 0.0000 0.2146
Ca4 0.5000 0.0000 0.7854
Ca5 0.5000 0.5000 0.5000

Results
SG ... P4/mmm
Polymorph energy (0 for the lowest one) ... 0 meV/atom
ΔH_f (0 K) ... 0.13 eV/atom



[2]
Entry from Alexandria: crystalline MoH2IrN at its relaxed geometry (GGA-PBE).

abc: 3.8330 3.8330 3.7054
angles: 90.00 90.00 90.00
Atoms (fractional coordinates):
Mo1 0.0000 0.0000 0.0000
H1 0.0000 0.5000 0.5000
H2 0.5000 0.0000 0.5000
Ir1 0.5000 0.5000 0.0000
N1 0.5000 0.5000 0.5000

Results
SG ... P4/mmm



[3]
Entry from Alexandria: crystalline Tl2InSe2 at its relaxed geometry (GGA-PBE).

abc: 6.1921 12.1333 3.9483
angles: 90.00 90.00 90.00
Atoms (fractional coordinates):
Tl1 0.0794 0.1579 0.0000
Tl2 0.4206 0.6579 0.0000
Tl3 0.5794 0.3421 0.0000
Tl4 0.9206 0.8421 0.0000
In1 0.0000 0.5000 0.0000
In2 0.5000 0.0000 0.0000
Se1 0.1861 0.3623 0.5000
Se2 0.3139 0.8623 0.5000
Se3 0.6861 0.1377 0.5000
Se4 0.8139 0.6377 0.5000

Results
SG ... Pbam
Formation energy without anion corrections ... -0.326 eV per atom
Polymorph energy (0 for the lowest one) ... 38 meV/atom



[4]
Entry from Alexandria: crystalline YBeMo2 at its relaxed geometry (GGA-PBE).

abc: 3.3793 4.4975 4.8149
angles: 90.00 100.72 90.00
Atoms (fractional coordinates):
Y1 0.0000 0.0000 0.0000
Be1 0.5000 0.0000 0.5000
Mo1 0.3302 0.5000 0.6982
Mo2 0.6698 0.5000 0.3018

Results
SG ... P2/m
ΔH_f (0 K) ... 0.41 eV/atom



[5]
Entry from Alexandria: crystalline SrMgMo2 at its relaxed geometry (GGA-PBE).

abc: 5.7851 10.1372 2.7718
angles: 90.00 90.00 90.00
Atoms (fractional coordinates):
Sr1 0.0000 0.0000 0.0000
Sr2 0.5000 0.5000 0.0000
Mg1 0.0000 0.5000 0.0000
Mg2 0.5000 0.0000 0.0000
Mo1 0.2500 0.2500 0.5000
Mo2 0.2500 0.7500 0.5000
Mo3 0.7500 0.2500 0.5000
Mo4 0.7500 0.7500 0.5000

Results
SG ... Cmmm
ΔH_f (0 K) ... 0.95 eV/atom



[6]
Entry from Alexandria: crystalline ZnPt2Cl at its relaxed geometry (GGA-PBE).

abc: 4.1030 4.1586 7.9111
angles: 90.00 90.00 90.00
Atoms (fractional coordinates):
Zn1 0.0000 0.0000 0.0000
Zn2 0.5000 0.5000 0.0000
Pt1 0.0000 0.0000 0.5416
Pt2 0.0000 0.5000 0.7824
Pt3 0.5000 0.0000 0.7824
Pt4 0.5000 0.5000 0.5416
Cl1 0.0000 0.5000 0.2104
Cl2 0.5000 0.0000 0.2104

Results
SG ... Cmm2
Formation energy without anion corrections ... 0.017 eV per atom
Polymorph energy (0 for the lowest one) ... 102 meV/atom



[7]
Entry from Alexandria: crystalline NaTiO2 at its relaxed geometry (GGA-PBE).

abc: 3.3008 3.3008 18.9445
angles: 90.00 90.00 120.00
Atoms (fractional coordinates):
Na1 0.0000 0.0000 0.0000
Na2 0.3333 0.6667 0.6667
Na3 0.6667 0.3333 0.3333
Ti1 0.0000 0.0000 0.5000
Ti2 0.3333 0.6667 0.1667
Ti3 0.6667 0.3333 0.8333
O1 0.0000 0.0000 0.4068
O2 0.0000 0.0000 0.5932
O3 0.3333 0.6667 0.0734
O4 0.3333 0.6667 0.2599
O5 0.6667 0.3333 0.7401
O6 0.6667 0.3333 0.9266

Results
SG ... R-3m
Formation energy without anion corrections ... -1.486 eV per atom



[8]
Entry from Alexandria: crystalline Ga3HgSb at its relaxed geometry (GGA-PBE).

abc: 5.1723 5.1723 5.1723
angles: 90.00 90.00 90.00
Atoms (fractional coordinates):
Ga1 0.0000 0.0000 0.5000
Ga2 0.0000 0.5000 0.0000
Ga3 0.5000 0.0000 0.0000
Hg1 0.0000 0.0000 0.0000
Sb1 0.5000 0.5000 0.5000

Results
SG ... Pm-3m
Formation energy without anion corrections ... 0.423 eV per atom
Polymorph energy (0 for the lowest one) ... 0 meV/atom



no.,DFT total energy (eV per atom)
1,-1.731
2,-5.599
3,-3.214
4,-7.552
5,-5.286
6,-3.783
7,-6.268
8,-2.278